Compound: CoAuBr2
Source: Alexandria via LeMat-Bulk
Functional: GGA-PBE
Structure: relaxed

Values from the calculation:
As for the crystal system: tetragonal. The value obtained for the total energy is -2.99 eV per atom. The energy above the most stable polymorph in this dataset is 0.403 eV per atom.

```
data_CoAuBr2
_cell_length_a 3.789
_cell_length_b 3.789
_cell_length_c 13.772
_cell_angle_alpha 90.00
_cell_angle_beta 90.00
_cell_angle_gamma 90.00
_space_group_name_H-M_alt 'I -4 m 2'
_space_group_IT_number 119
_space_group_name_Hall 'I -4 -2'
loop_
_atom_site_label
_atom_site_type_symbol
_atom_site_fract_x
_atom_site_fract_y
_atom_site_fract_z
Co1 Co 0.000 0.000 0.000
Au1 Au 0.000 0.500 0.750
Br1 Br 0.000 0.000 0.500
Br2 Br 0.000 0.500 0.250
```

Compound: MnTlCo2N
Source: Alexandria via LeMat-Bulk
Functional: GGA-PBE
Structure: relaxed

Values from the calculation:
As for the crystal system: tetragonal. The value obtained for the total energy is -6.69 eV per atom.

```
data_MnTlCo2N
_cell_length_a 3.944
_cell_length_b 3.944
_cell_length_c 3.942
_cell_angle_alpha 90.00
_cell_angle_beta 90.00
_cell_angle_gamma 90.00
_space_group_name_H-M_alt 'P 4/m m m'
_space_group_IT_number 123
_space_group_name_Hall '-P 4 2'
loop_
_atom_site_label
_atom_site_type_symbol
_atom_site_fract_x
_atom_site_fract_y
_atom_site_fract_z
Mn1 Mn 0.000 0.000 0.000
Tl1 Tl 0.500 0.500 0.000
Co1 Co 0.000 0.500 0.500
N1 N 0.000 0.000 0.500
```

Compound: Pr3NdEr3
Source: Alexandria via LeMat-Bulk
Functional: GGA-PBE
Structure: relaxed

Values from the calculation:
As for the crystal system: hexagonal. For the energy relative to the elements, the calculation gives 0.0291 eV per atom. The value obtained for the total energy is -4.66 eV per atom. The energy above the most stable polymorph in this dataset is 0.000 eV per atom.

```
data_Pr3NdEr3
_cell_length_a 9.7107
_cell_length_b 9.7107
_cell_length_c 5.8183
_cell_angle_alpha 90.00
_cell_angle_beta 90.00
_cell_angle_gamma 120.00
_space_group_name_H-M_alt 'P 63/m'
_space_group_IT_number 176
_space_group_name_Hall '-P 6c'
loop_
_atom_site_label
_atom_site_type_symbol
_atom_site_fract_x
_atom_site_fract_y
_atom_site_fract_z
Pr1 Pr 0.0958 0.4734 0.2500
Nd1 Nd 0.3333 0.6667 0.7500
Er1 Er 0.0458 0.2311 0.7500
```